Density functional theory data (PBE) for a relaxed ScSb2Ir crystal.

Cell and atoms, written as CIF:
```
data_ScSb2Ir
_symmetry_space_group_name_H-M 'P 1 m 1'
_symmetry_Int_Tables_number 6
_cell_length_a 3.145
_cell_length_b 4.118
_cell_length_c 7.517
_cell_angle_alpha 90.00
_cell_angle_beta 90.35
_cell_angle_gamma 90.00
loop_
_symmetry_equiv_pos_as_xyz
'x,y,z'
'x,-y,z'
loop_
_atom_site_label
_atom_site_fract_x
_atom_site_fract_y
_atom_site_fract_z
Sc1 0.000 0.000 0.000
Sb1 0.496 0.000 0.628
Sb2 0.503 0.500 0.226
Ir1 0.498 0.500 0.861
```

formation energy without anion corrections = -0.414 eV per atom
energy relative to the lowest polymorph listed for this composition = 10 meV/atom
total energy = -6.27 eV/atom
ρ = 8.20 g/cm3
total magnetic moment = 0.0 μB per cell